Crystalline KIn2Sb at its relaxed geometry, computed with PBE-GGA.

Values from the calculation:
Electronic total energy: -2.78 eV/atom
SG: C2/m (12)
Theoretical density: 4.9 Mg/m³

Geometry as POSCAR:
```
KIn2Sb
1.0
6.509 -1.931 0.000
6.509 1.931 0.000
-2.722 0.000 5.316
K In Sb
1 2 1
direct
0.000 0.000 0.000
0.208 0.208 0.707
0.792 0.792 0.293
0.500 0.500 0.500
```